[1]
VASP calculation (PBE) on CeCdGa2Pd5 after structural relaxation.

Unit cell a=4.1560 b=4.1560 c=9.4468 alpha=90.00 beta=90.00 gamma=90.00
Space group P4/mmm (No. 123)
Inequivalent atoms, fractional coordinates:
1 Ce 0.0000 0.0000 0.0000
2 Cd 0.0000 0.0000 0.5000
3 Ga 0.5000 0.5000 0.3705
4 Pd 0.0000 0.5000 0.2222
5 Pd 0.5000 0.5000 0.0000

***

[2]
VASP calculation (PBE) on Ce2CdGa3Pd4 after structural relaxation.

Unit cell a=4.1182 b=4.1182 c=11.6698 alpha=90.00 beta=90.00 gamma=90.00
Space group P-4m2 (No. 115)
Inequivalent atoms, fractional coordinates:
1 Ce 0.0000 0.5000 0.2472
2 Cd 0.0000 0.0000 0.5000
3 Ga 0.0000 0.5000 0.8730
4 Ga 0.5000 0.5000 0.5000
5 Pd 0.0000 0.0000 0.0000
6 Pd 0.0000 0.5000 0.6583
7 Pd 0.5000 0.5000 0.0000

***

[3]
VASP calculation (PBE) on CeCd2GaPd4 after structural relaxation.

Unit cell a=4.7270 b=4.7270 c=22.7628 alpha=90.00 beta=90.00 gamma=120.00
Space group R-3m (No. 166, hexagonal axes)
Inequivalent atoms, fractional coordinates:
1 Ce 0.0000 0.0000 0.0000
2 Cd 0.0000 0.0000 0.2510
3 Ga 0.0000 0.0000 0.5000
4 Pd 0.0000 0.0000 0.1287
5 Pd 0.0000 0.0000 0.3894

***

[4]
VASP calculation (PBE) on CeCdGa2Pd2 after structural relaxation.

Unit cell a=4.4611 b=4.4611 c=6.8040 alpha=90.00 beta=90.00 gamma=120.00
Space group P-3m1 (No. 164)
Inequivalent atoms, fractional coordinates:
1 Ce 0.0000 0.0000 0.0000
2 Cd 0.0000 0.0000 0.5000
3 Ga 0.3333 0.6667 0.2681
4 Pd 0.3333 0.6667 0.6850

***

[5]
VASP calculation (PBE) on CePmCdGa after structural relaxation.

Unit cell a=3.4489 b=3.4489 c=8.5956 alpha=90.00 beta=90.00 gamma=90.00
Space group P4mm (No. 99)
Inequivalent atoms, fractional coordinates:
1 Ce 0.0000 0.0000 0.0000
2 Pm 0.0000 0.0000 0.4631
3 Cd 0.5000 0.5000 0.7301
4 Ga 0.5000 0.5000 0.2319

***

[6]
VASP calculation (PBE) on CePmCdGa after structural relaxation.

Unit cell a=7.4986 b=7.4986 c=7.4986 alpha=90.00 beta=90.00 gamma=90.00
Space group F-43m (No. 216)
Inequivalent atoms, fractional coordinates:
1 Ce 0.0000 0.0000 0.0000
2 Pm 0.0000 0.0000 0.5000
3 Cd 0.2500 0.2500 0.2500
4 Ga 0.2500 0.2500 0.7500

***

[7]
VASP calculation (PBE) on CePrCdGa after structural relaxation.

Unit cell a=7.5552 b=7.5552 c=7.5552 alpha=90.00 beta=90.00 gamma=90.00
Space group F-43m (No. 216)
Inequivalent atoms, fractional coordinates:
1 Ce 0.0000 0.0000 0.0000
2 Pr 0.0000 0.0000 0.5000
3 Cd 0.2500 0.2500 0.7500
4 Ga 0.2500 0.2500 0.2500

***

[8]
VASP calculation (PBE) on Ce2CdGa2Pt5 after structural relaxation.

Unit cell a=10.1865 b=10.1865 c=3.6942 alpha=90.00 beta=90.00 gamma=90.00
Space group P4/mbm (No. 127)
Inequivalent atoms, fractional coordinates:
1 Ce 0.1780 0.3220 0.0000
2 Cd 0.0000 0.0000 0.0000
3 Ga 0.1230 0.6230 0.0000
4 Pt 0.0000 0.5000 0.5000
5 Pt 0.0422 0.7873 0.5000

***

[9]
VASP calculation (PBE) on CeCdGaPt3 after structural relaxation.

Unit cell a=7.1810 b=12.2427 c=5.7459 alpha=90.00 beta=90.00 gamma=90.00
Space group Cmcm (No. 63)
Inequivalent atoms, fractional coordinates:
1 Ce 0.0000 0.1866 0.2500
2 Cd 0.0000 0.4390 0.2500
3 Ga 0.0000 0.1269 0.7500
4 Pt 0.0000 0.3249 0.7500
5 Pt 0.1985 0.0000 0.0000

***

[10]
VASP calculation (PBE) on CeCdGaPt after structural relaxation.

Unit cell a=6.9151 b=6.9151 c=6.9151 alpha=90.00 beta=90.00 gamma=90.00
Space group F-43m (No. 216)
Inequivalent atoms, fractional coordinates:
1 Ce 0.0000 0.0000 0.0000
2 Cd 0.0000 0.0000 0.5000
3 Ga 0.2500 0.2500 0.2500
4 Pt 0.2500 0.2500 0.7500

***

[11]
VASP calculation (PBE) on Ce2CdGa4Pt3 after structural relaxation.

Unit cell a=4.2912 b=4.2912 c=10.8038 alpha=90.00 beta=90.00 gamma=90.00
Space group P-4m2 (No. 115)
Inequivalent atoms, fractional coordinates:
1 Ce 0.0000 0.5000 0.2365
2 Cd 0.0000 0.0000 0.5000
3 Ga 0.0000 0.0000 0.0000
4 Ga 0.0000 0.5000 0.6421
5 Ga 0.5000 0.5000 0.0000
6 Pt 0.0000 0.5000 0.8701
7 Pt 0.5000 0.5000 0.5000

***

[12]
VASP calculation (PBE) on CePuCdGa after structural relaxation.

Unit cell a=7.4195 b=7.4195 c=7.4195 alpha=90.00 beta=90.00 gamma=90.00
Space group F-43m (No. 216)
Inequivalent atoms, fractional coordinates:
1 Ce 0.0000 0.0000 0.0000
2 Pu 0.0000 0.0000 0.5000
3 Cd 0.2500 0.2500 0.7500
4 Ga 0.2500 0.2500 0.2500

***

[13]
VASP calculation (PBE) on CeCdGaRh after structural relaxation.

Unit cell a=6.8501 b=6.8501 c=6.8501 alpha=90.00 beta=90.00 gamma=90.00
Space group F-43m (No. 216)
Inequivalent atoms, fractional coordinates:
1 Ce 0.0000 0.0000 0.0000
2 Cd 0.0000 0.0000 0.5000
3 Ga 0.2500 0.2500 0.2500
4 Rh 0.2500 0.2500 0.7500

***

[14]
VASP calculation (PBE) on CeScCdGa after structural relaxation.

Unit cell a=7.2085 b=7.2085 c=7.2085 alpha=90.00 beta=90.00 gamma=90.00
Space group F-43m (No. 216)
Inequivalent atoms, fractional coordinates:
1 Ce 0.0000 0.0000 0.0000
2 Sc 0.0000 0.0000 0.5000
3 Cd 0.2500 0.2500 0.7500
4 Ga 0.2500 0.2500 0.2500

***

Number 1: formation enthalpy at 0 K -5.02 eV/f.u., theoretical density 9404 kg/m3. Number 2: formation enthalpy at 0 K -6.76 eV/f.u., theoretical density 8621 kg/m3. Number 3: formation enthalpy at 0 K -4.12 eV/f.u., theoretical density 9730 kg/m3. Number 4: formation enthalpy at 0 K -3.51 eV/f.u., theoretical density 8564 kg/m3. Number 5: formation enthalpy at 0 K -1.50 eV/f.u., theoretical density 7589 kg/m3. Number 6: formation enthalpy at 0 K -1.37 eV/f.u., theoretical density 7361 kg/m3. Number 7: formation enthalpy at 0 K -1.33 eV/f.u., theoretical density 7134 kg/m3. Number 8: formation enthalpy at 0 K -6.98 eV/f.u., theoretical density 13061 kg/m3. Number 9: formation enthalpy at 0 K -2.99 eV/f.u., theoretical density 11933 kg/m3. Number 10: formation enthalpy at 0 K -2.34 eV/f.u., theoretical density 10392 kg/m3. Number 11: formation enthalpy at 0 K -7.91 eV/f.u., theoretical density 10490 kg/m3. Number 12: formation enthalpy at 0 K -0.72 eV/f.u., theoretical density 9209 kg/m3. Number 13: formation enthalpy at 0 K -1.55 eV/f.u., theoretical density 8786 kg/m3. Number 14: formation enthalpy at 0 K -1.38 eV/f.u., theoretical density 6511 kg/m3.